[1]
# Ho12Mn3H5 (PBE-GGA, optimized geometry)
# Electronic total energy (eV/atom): -5.02
data_Ho12Mn3H5
_cell_length_a 14.997
_cell_length_b 14.997
_cell_length_c 14.997
_cell_angle_alpha 90.00
_cell_angle_beta 90.00
_cell_angle_gamma 90.00
_space_group_name_H-M_alt 'I a -3 d'
_space_group_IT_number 230
_space_group_name_Hall '-I 4bd 2c 3'
loop_
_atom_site_label
_atom_site_fract_x
_atom_site_fract_y
_atom_site_fract_z
Ho1 0.034 0.059 0.655
Mn1 0.000 0.250 0.125
H1 0.000 0.000 0.000
H2 0.000 0.250 0.375


[2]
# Ho2MnH (PBE-GGA, optimized geometry)
# Electronic total energy (eV/atom): -5.10
data_Ho2MnH
_cell_length_a 3.3476
_cell_length_b 3.3476
_cell_length_c 25.5486
_cell_angle_alpha 90.00
_cell_angle_beta 90.00
_cell_angle_gamma 120.00
_space_group_name_H-M_alt 'R -3 m'
_space_group_IT_number 166
_space_group_name_Hall '-R 3 2"'
loop_
_atom_site_label
_atom_site_fract_x
_atom_site_fract_y
_atom_site_fract_z
Ho1 0.0000 0.0000 0.1133
Mn1 0.0000 0.0000 0.0000
H1 0.0000 0.0000 0.5000